No. 1
# Y2TlCd (GGA-PBE, relaxed)
# total DFT energy (no corrections): -4.08 eV/atom
data_Y2TlCd
_cell_length_a 5.106
_cell_length_b 5.106
_cell_length_c 10.521
_cell_angle_alpha 90.00
_cell_angle_beta 90.00
_cell_angle_gamma 120.00
_space_group_name_H-M_alt 'P 1'
_space_group_IT_number 1
_space_group_name_Hall 'P 1'
loop_
_atom_site_label
_atom_site_type_symbol
_atom_site_fract_x
_atom_site_fract_y
_atom_site_fract_z
Y1 Y 0.333 0.667 0.095
Y2 Y 0.333 0.667 0.405
Y3 Y 0.667 0.333 0.595
Y4 Y 0.667 0.333 0.905
Tl1 Tl 0.333 0.667 0.750
Tl2 Tl 0.667 0.333 0.250
Cd1 Cd 0.000 0.000 0.000
Cd2 Cd 0.000 0.000 0.500

No. 2
# Tm4GeSbC2 (GGA-PBE, relaxed)
# total DFT energy (no corrections): -6.25 eV/atom
data_Tm4GeSbC2
_cell_length_a 3.569
_cell_length_b 3.569
_cell_length_c 14.824
_cell_angle_alpha 90.00
_cell_angle_beta 90.00
_cell_angle_gamma 120.00
_space_group_name_H-M_alt 'P 1'
_space_group_IT_number 1
_space_group_name_Hall 'P 1'
loop_
_atom_site_label
_atom_site_type_symbol
_atom_site_fract_x
_atom_site_fract_y
_atom_site_fract_z
Tm1 Tm 0.000 0.000 0.154
Tm2 Tm 0.000 0.000 0.846
Tm3 Tm 0.333 0.667 0.332
Tm4 Tm 0.333 0.667 0.668
Ge1 Ge 0.333 0.667 0.000
Sb1 Sb 0.000 0.000 0.500
C1 C 0.667 0.333 0.246
C2 C 0.667 0.333 0.754

No. 3
# SrPa (GGA-PBE, relaxed)
# energy relative to the lowest polymorph listed for this composition: 1.136 eV/atom
data_SrPa
_cell_length_a 4.695
_cell_length_b 4.695
_cell_length_c 4.695
_cell_angle_alpha 60.00
_cell_angle_beta 60.00
_cell_angle_gamma 60.00
_space_group_name_H-M_alt 'P 1'
_space_group_IT_number 1
_space_group_name_Hall 'P 1'
loop_
_atom_site_label
_atom_site_type_symbol
_atom_site_fract_x
_atom_site_fract_y
_atom_site_fract_z
Sr1 Sr 0.000 0.000 0.000
Pa1 Pa 0.500 0.500 0.500

No. 4
# GdSi3Pd (GGA-PBE, relaxed)
# total DFT energy (no corrections): -5.87 eV/atom
data_GdSi3Pd
_cell_length_a 11.085
_cell_length_b 11.085
_cell_length_c 4.068
_cell_angle_alpha 90.00
_cell_angle_beta 90.00
_cell_angle_gamma 158.78
_space_group_name_H-M_alt 'P 1'
_space_group_IT_number 1
_space_group_name_Hall 'P 1'
loop_
_atom_site_label
_atom_site_type_symbol
_atom_site_fract_x
_atom_site_fract_y
_atom_site_fract_z
Gd1 Gd 0.171 0.829 0.000
Gd2 Gd 0.829 0.171 0.000
Si1 Si 0.054 0.946 0.500
Si2 Si 0.278 0.722 0.500
Si3 Si 0.446 0.554 0.000
Si4 Si 0.554 0.446 0.000
Si5 Si 0.722 0.278 0.500
Si6 Si 0.946 0.054 0.500
Pd1 Pd 0.388 0.612 0.500
Pd2 Pd 0.612 0.388 0.500

No. 5
# Pr2Se (GGA-PBE, relaxed)
# total DFT energy (no corrections): -4.51 eV/atom
data_Pr2Se
_cell_length_a 6.358
_cell_length_b 6.358
_cell_length_c 6.358
_cell_angle_alpha 60.00
_cell_angle_beta 60.00
_cell_angle_gamma 60.00
_space_group_name_H-M_alt 'P 1'
_space_group_IT_number 1
_space_group_name_Hall 'P 1'
loop_
_atom_site_label
_atom_site_type_symbol
_atom_site_fract_x
_atom_site_fract_y
_atom_site_fract_z
Pr1 Pr 0.000 0.000 0.000
Pr2 Pr 0.000 0.000 0.500
Pr3 Pr 0.000 0.500 0.000
Pr4 Pr 0.500 0.000 0.000
Se1 Se 0.375 0.375 0.375
Se2 Se 0.625 0.625 0.625

No. 6
# Sc3AlAg2 (GGA-PBE, relaxed)
# total DFT energy (no corrections): -5.08 eV/atom
data_Sc3AlAg2
_cell_length_a 3.388
_cell_length_b 3.388
_cell_length_c 10.375
_cell_angle_alpha 90.00
_cell_angle_beta 90.00
_cell_angle_gamma 90.00
_space_group_name_H-M_alt 'P 1'
_space_group_IT_number 1
_space_group_name_Hall 'P 1'
loop_
_atom_site_label
_atom_site_type_symbol
_atom_site_fract_x
_atom_site_fract_y
_atom_site_fract_z
Sc1 Sc 0.000 0.000 0.000
Sc2 Sc 0.000 0.000 0.335
Sc3 Sc 0.000 0.000 0.665
Al1 Al 0.500 0.500 0.500
Ag1 Ag 0.500 0.500 0.172
Ag2 Ag 0.500 0.500 0.828

no.,M_tot (μB/f.u.)
1,0.14
2,0.01
3,2.92
4,0.00
5,0.01
6,0.00